# 1
{
  "formula": "Cs3Ba2UTe6",
  "functional": "PBE",
  "state": "optimized geometry",
  "lattice_angstrom": [[8.546, 0.009, -0.003], [-4.263, 7.407, -0.003], [-1.432, -2.479, 8.851]],
  "species": ["Ba", "Ba", "U", "Cs", "Cs", "Cs", "Te", "Te", "Te", "Te", "Te", "Te"],
  "frac_coords": [[0.334, 0.666, 0.000], [0.666, 0.334, 0.000], [0.000, 0.000, 0.000], [0.500, 0.500, 0.500], [0.174, 0.826, 0.500], [0.826, 0.174, 0.500], [0.066, 0.357, 0.197], [0.222, 0.222, 0.801], [0.643, 0.934, 0.803], [0.778, 0.778, 0.199], [0.357, 0.066, 0.197], [0.934, 0.643, 0.803]],
  "magmom_total_mub_per_fu": 1.0,
  "e_form_raw_ev_per_atom": -1.234
}


# 2
{
  "formula": "CsBaVTe4",
  "functional": "PBE",
  "state": "optimized geometry",
  "lattice_angstrom": [[-2.384, 6.563, -2.229], [-7.094, -2.860, -0.835], [-0.976, -0.770, 10.935]],
  "species": ["Ba", "Ba", "Te", "Te", "Te", "Te", "Te", "Te", "Te", "Te", "V", "V", "Cs", "Cs"],
  "frac_coords": [[0.215, 0.250, 0.530], [0.785, 0.750, 0.470], [0.953, 0.492, 0.245], [0.603, 0.250, 0.826], [0.047, 0.508, 0.755], [0.047, 0.992, 0.755], [0.649, 0.250, 0.457], [0.953, 0.008, 0.245], [0.397, 0.750, 0.174], [0.351, 0.750, 0.543], [0.175, 0.750, 0.303], [0.825, 0.250, 0.697], [0.305, 0.250, 0.087], [0.695, 0.750, 0.913]],
  "magmom_total_mub_per_fu": 0.1,
  "e_form_raw_ev_per_atom": -0.900
}


# 3
{
  "formula": "Cs2BaTi",
  "functional": "PBE",
  "state": "optimized geometry",
  "lattice_angstrom": [[0.000, 4.880, 4.880], [4.880, 0.000, 4.880], [4.880, 4.880, 0.000]],
  "species": ["Cs", "Cs", "Ba", "Ti"],
  "frac_coords": [[0.750, 0.750, 0.750], [0.250, 0.250, 0.250], [0.500, 0.500, 0.500], [0.000, 0.000, 0.000]],
  "magmom_total_mub_per_fu": 3.8,
  "formation_enthalpy_0k_mev_per_atom": 1005.4
}


# 4
{
  "formula": "CsBaTi3",
  "functional": "PBE",
  "state": "optimized geometry",
  "lattice_angstrom": [[5.285, 0.000, 0.000], [0.000, 5.285, 0.000], [0.000, 0.000, 5.285]],
  "species": ["Cs", "Ba", "Ti", "Ti", "Ti"],
  "frac_coords": [[0.000, 0.000, 0.000], [0.500, 0.500, 0.500], [0.500, 0.000, 0.000], [0.000, 0.500, 0.000], [0.000, 0.000, 0.500]],
  "magmom_total_mub_per_fu": 2.8,
  "formation_enthalpy_0k_mev_per_atom": 1774.7
}


# 5
{
  "formula": "Cs2BaYTi",
  "functional": "PBE",
  "state": "optimized geometry",
  "lattice_angstrom": [[-2.075, -3.134, 5.740], [3.305, -5.699, -1.917], [4.417, 1.711, 2.530]],
  "species": ["Cs", "Cs", "Ba", "Ti", "Y"],
  "frac_coords": [[0.000, 0.500, 0.000], [0.500, 0.000, 0.000], [0.000, 0.000, 0.000], [0.000, 0.000, 0.500], [0.500, 0.500, 0.500]],
  "magmom_total_mub_per_fu": 0.1,
  "formation_enthalpy_0k_mev_per_atom": 1415.8
}


# 6
{
  "formula": "CsBaTl2",
  "functional": "PBE",
  "state": "optimized geometry",
  "lattice_angstrom": [[4.422, 0.000, 0.000], [0.000, 4.422, 0.000], [0.000, 0.000, 9.228]],
  "species": ["Tl", "Tl", "Cs", "Ba"],
  "frac_coords": [[0.000, 0.000, 0.799], [0.000, 0.000, 0.201], [0.500, 0.500, 0.500], [0.500, 0.500, 0.000]],
  "magmom_total_mub_per_fu": 0.0,
  "formation_enthalpy_0k_mev_per_atom": -191.7
}


no.,uncorrected energy (eV/f.u.)
1,-51.4
2,-30.8
3,-7.5
4,-17.6
5,-10.9
6,-8.3